No. 1
Below is a relaxed TiSe2F crystal, with properties calculated at the PBE-GGA level.

Raw formation energy   -0.86 eV/atom
V   15.9 Å³/atom
Size of the total moment   0.00 μB/f.u.
N(E_F)   5.6 states/eV/cell

Cell: 6.3367 6.3367 6.3367 Å, 90.00 90.00 90.00°
Space group Fm-3m (No. 225)
Inequivalent atoms, fractional coordinates:
Ti 0.0000 0.0000 0.0000 x4
Se 0.2500 0.2500 0.2500 x8
F 0.0000 0.0000 0.5000 x4

No. 2
Below is a relaxed Pr3Nd4In4 crystal, with properties calculated at the PBE-GGA level.

Energy of formation from the pure elements   -0.31 eV/atom
V   32.5 Å³/atom
Size of the total moment   0.00 μB/f.u.
N(E_F)   23.2 states/eV/cell

Cell: 3.7899 9.6441 19.5585 Å, 90.00 90.00 90.00°
Space group Immm (No. 71)
Inequivalent atoms, fractional coordinates:
Pr 0.0000 0.0000 0.0000 x2
Pr 0.0000 0.5000 0.0961 x4
Nd 0.0000 0.3186 0.3356 x8
In 0.0000 0.0000 0.2703 x4
In 0.0000 0.2196 0.5000 x4

No. 3
Below is a relaxed Cr4RuRh crystal, with properties calculated at the PBE-GGA level.

Energy of formation from the pure elements   -0.01 eV/atom
V   12.4 Å³/atom
Size of the total moment   0.00 μB/f.u.
N(E_F)   22.4 states/eV/cell

Cell: 6.6797 6.6797 6.6797 Å, 90.00 90.00 90.00°
Space group F-43m (No. 216)
Inequivalent atoms, fractional coordinates:
Cr 0.1249 0.1249 0.1249 x16
Ru 0.0000 0.0000 0.5000 x4
Rh 0.2500 0.2500 0.7500 x4

No. 4
Below is a relaxed SrLa2As crystal, with properties calculated at the PBE-GGA level.

Energy of formation from the pure elements   -0.39 eV/atom
V   29.9 Å³/atom
Size of the total moment   0.00 μB/f.u.
N(E_F)   4.9 states/eV/cell

Cell: 4.8577 4.8577 5.0635 Å, 90.00 90.00 90.00°
Space group P4/mmm (No. 123)
Inequivalent atoms, fractional coordinates:
Sr 0.0000 0.0000 0.0000 x1
La 0.0000 0.5000 0.5000 x2
As 0.5000 0.5000 0.0000 x1

No. 5
Below is a relaxed BaAs2Pb crystal, with properties calculated at the PBE-GGA level.

Energy of formation from the pure elements   -0.46 eV/atom
V   31.0 Å³/atom
Size of the total moment   0.00 μB/f.u.
N(E_F)   0.7 states/eV/cell

Cell: 4.4111 5.1533 5.4748 Å, 90.00 93.96 90.00°
Space group Pm (No. 6)
Inequivalent atoms, fractional coordinates:
Ba 0.0000 0.0000 0.0000 x1
As 0.4240 0.5000 0.7809 x1
As 0.4942 0.0000 0.5493 x1
Pb 0.8805 0.5000 0.4477 x1

No. 6
Below is a relaxed NaAgAu crystal, with properties calculated at the PBE-GGA level.

Energy of formation from the pure elements   -0.13 eV/atom
V   20.0 Å³/atom
Size of the total moment   0.00 μB/f.u.
N(E_F)   1.1 states/eV/cell

Cell: 4.9225 4.9225 2.8559 Å, 90.00 90.00 120.00°
Space group P3m1 (No. 156)
Inequivalent atoms, fractional coordinates:
Na 0.0000 0.0000 0.0000 x1
Ag 0.6667 0.3333 0.4756 x1
Au 0.3333 0.6667 0.5212 x1

No. 7
Below is a relaxed PRhAuCl2 crystal, with properties calculated at the PBE-GGA level.

Raw formation energy   0.37 eV/atom
V   21.7 Å³/atom
Size of the total moment   0.00 μB/f.u.
N(E_F)   3.0 states/eV/cell

Cell: 4.9300 4.9300 4.4620 Å, 90.00 90.00 90.00°
Space group P4/mmm (No. 123)
Inequivalent atoms, fractional coordinates:
P 0.0000 0.0000 0.0000 x1
Rh 0.0000 0.0000 0.5000 x1
Au 0.5000 0.5000 0.0000 x1
Cl 0.0000 0.5000 0.5000 x2

No. 8
Below is a relaxed Mg2ScPd2 crystal, with properties calculated at the PBE-GGA level.

Energy of formation from the pure elements   -0.63 eV/atom
V   17.9 Å³/atom
Size of the total moment   0.00 μB/f.u.
N(E_F)   4.3 states/eV/cell

Cell: 8.2947 4.3958 5.8870 Å, 90.00 123.45 90.00°
Space group C2/m (No. 12)
Inequivalent atoms, fractional coordinates:
Mg 0.2065 0.0000 0.1387 x4
Sc 0.0000 0.0000 0.5000 x2
Pd 0.0928 0.5000 0.2927 x4

No. 9
Below is a relaxed Sm2Ho5Tl5 crystal, with properties calculated at the PBE-GGA level.

Energy of formation from the pure elements   -0.21 eV/atom
V   29.6 Å³/atom
Size of the total moment   0.00 μB/f.u.
N(E_F)   21.8 states/eV/cell

Cell: 12.1322 5.0182 12.3261 Å, 90.00 108.86 90.00°
Space group C2/m (No. 12)
Inequivalent atoms, fractional coordinates:
Sm 0.0667 0.0000 0.2648 x4
Ho 0.0000 0.5000 0.0000 x2
Ho 0.1521 0.5000 0.5099 x4
Ho 0.1517 0.5000 0.7927 x4
Tl 0.0000 0.0000 0.5000 x2
Tl 0.1532 0.0000 0.9712 x4
Tl 0.2399 0.5000 0.2890 x4

No. 10
Below is a relaxed PrDy15Er4 crystal, with properties calculated at the PBE-GGA level.

Energy of formation from the pure elements   0.02 eV/atom
V   31.5 Å³/atom
Size of the total moment   0.00 μB/f.u.
N(E_F)   26.3 states/eV/cell

Cell: 5.0104 5.0104 25.0595 Å, 90.00 90.00 90.00°
Space group P4/mmm (No. 123)
Inequivalent atoms, fractional coordinates:
Pr 0.0000 0.0000 0.0000 x1
Dy 0.0000 0.5000 0.1022 x4
Dy 0.0000 0.5000 0.3010 x4
Dy 0.0000 0.5000 0.5000 x2
Dy 0.5000 0.5000 0.0000 x1
Dy 0.5000 0.5000 0.2020 x2
Dy 0.5000 0.5000 0.4004 x2
Er 0.0000 0.0000 0.2014 x2
Er 0.0000 0.0000 0.4005 x2

No. 11
Below is a relaxed YAl2Ir2 crystal, with properties calculated at the PBE-GGA level.

Energy of formation from the pure elements   -0.88 eV/atom
V   18.2 Å³/atom
Size of the total moment   0.00 μB/f.u.
N(E_F)   11.1 states/eV/cell

Cell: 4.1575 4.1575 21.0545 Å, 90.00 90.00 90.00°
Space group I4/mmm (No. 139)
Inequivalent atoms, fractional coordinates:
Y 0.0000 0.0000 0.1331 x4
Al 0.0000 0.0000 0.3127 x4
Al 0.0000 0.5000 0.0000 x4
Ir 0.0000 0.0000 0.4305 x4
Ir 0.0000 0.5000 0.2500 x4

No. 12
Below is a relaxed Nd2ThS4 crystal, with properties calculated at the PBE-GGA level.

Raw formation energy   -1.95 eV/atom
V   25.3 Å³/atom
Size of the total moment   0.00 μB/f.u.
N(E_F)   14.1 states/eV/cell

Cell: 3.9635 13.4899 13.2736 Å, 90.00 90.00 90.00°
Space group Cmcm (No. 63)
Inequivalent atoms, fractional coordinates:
Nd 0.0000 0.1336 0.0695 x8
Th 0.0000 0.3730 0.2500 x4
S 0.0000 0.0207 0.2500 x4
S 0.0000 0.2230 0.6269 x8
S 0.0000 0.5000 0.0000 x4